A plane-wave DFT calculation with PBE+U was carried out for Li3Fe3NiO8 after structural relaxation.

abc: 5.9501 5.9501 5.9501
angles: 59.44 59.44 59.44
Positions (direct):
O 0.2272 0.7617 0.2272
O 0.7728 0.7728 0.2383
O 0.2575 0.2575 0.2575
Fe 0.5000 0.5000 0.0000
Fe 0.0000 0.5000 0.5000
Fe 0.5000 0.0000 0.5000
Li 0.5000 0.0000 0.0000
O 0.7425 0.7425 0.7425
Li 0.0000 0.5000 0.0000
Ni 0.0000 0.0000 0.0000
O 0.7728 0.2383 0.7728
Li 0.0000 0.0000 0.5000
O 0.2272 0.2272 0.7617
O 0.7617 0.2272 0.2272
O 0.2383 0.7728 0.7728

The value obtained for the total moment is 15.00 μB per formula unit. The value obtained for the energy relative to the lowest polymorph listed for this composition is 0.000 eV per atom.